Entry 1:
## Gd3Mg2InIr2Pt (PBE-GGA)

Data for crystalline Gd3Mg2InIr2Pt at its relaxed geometry. Values from VASP.

Geometry as Quantum ESPRESSO input:
```
&SYSTEM
  ibrav = 0, nat = 9, ntyp = 5
/
ATOMIC_SPECIES
Gd 157.25 Gd.upf
Ir 192.22 Ir.upf
In 114.82 In.upf
Pt 195.08 Pt.upf
Mg 24.30 Mg.upf
ATOMIC_POSITIONS crystal
Gd 0.5000 0.5863 0.5863
Gd 0.5000 0.0003 0.4121
Gd 0.5000 0.4121 0.0003
Ir 0.0000 0.6725 0.3354
Ir 0.0000 0.3354 0.6725
In 0.0000 0.2519 0.2519
Pt 0.5000 0.9914 0.9914
Mg 0.0000 0.9988 0.7512
Mg 0.0000 0.7512 0.9988
CELL_PARAMETERS angstrom
4.0346 0.0000 0.0000
0.0000 6.4073 3.7330
0.0000 -6.4073 3.7330
```

Symmetry ... Amm2 (38)



Entry 2:
## NdGdIn2Ir4 (PBE-GGA)

Data for crystalline NdGdIn2Ir4 at its relaxed geometry. Values from VASP.

Geometry as Quantum ESPRESSO input:
```
&SYSTEM
  ibrav = 0, nat = 8, ntyp = 4
/
ATOMIC_SPECIES
Ir 192.22 Ir.upf
In 114.82 In.upf
Gd 157.25 Gd.upf
Nd 144.24 Nd.upf
ATOMIC_POSITIONS crystal
Ir 0.6667 0.3333 0.8554
Ir 0.0000 0.0000 0.6583
Ir 0.0000 0.0000 0.3417
Ir 0.6667 0.3333 0.1446
In 0.3333 0.6667 0.7519
In 0.3333 0.6667 0.2481
Gd 0.0000 0.0000 0.0000
Nd 0.6667 0.3333 0.5000
CELL_PARAMETERS angstrom
4.5974 0.0000 0.0000
-2.2987 3.9815 0.0000
0.0000 0.0000 8.9934
```

Symmetry ... P-6m2 (187)



| no. | final energy (eV per atom) |
| --- | --- |
| 1 | -5.612 |
| 2 | -6.651 |